1.
Computed, not measured: an optimized crystal structure of Rb2YMgB at the PBE-GGA level of DFT.

Summary:
Space-group type: P4/mmm (123)

a = 6.6077 Å, b = 4.5571 Å, c = 6.6077 Å
α = 90.00°, β = 90.00°, γ = 90.00°
With the nearest neighbours (Å) after each atom.
Element x y z (fractional)
Y 0.5000 0.5000 0.5000  8 Rb 4.01
Mg 0.0000 0.5000 0.0000  2 B 2.28
B 0.0000 0.0000 0.0000  2 Mg 2.28
Rb 0.0000 0.0000 0.5000  2 B 3.30
Rb 0.5000 0.0000 0.0000  2 B 3.30

---

2.
Computed, not measured: an optimized crystal structure of RbYMgB2 at the PBE-GGA level of DFT.

Summary:
Space-group type: P4/mmm (123)

a = 4.6116 Å, b = 4.9816 Å, c = 4.6116 Å
α = 90.00°, β = 90.00°, γ = 90.00°
With the nearest neighbours (Å) after each atom.
Element x y z (fractional)
Y 0.5000 0.5000 0.5000  4 Rb 3.26, 8 B 3.39
Mg 0.0000 0.0000 0.0000  4 B 2.31, 2 Rb 2.49
B 0.0000 0.0000 0.5000  2 Mg 2.31
B 0.5000 0.0000 0.0000  2 Mg 2.31
Rb 0.0000 0.5000 0.0000  2 Mg 2.49

---

3.
Computed, not measured: an optimized crystal structure of MgReB14 at the PBE-GGA level of DFT.

Summary:
Space-group type: Imma (74)

a = 5.9127 Å, b = 7.2896 Å, c = 7.2896 Å
α = 68.36°, β = 66.07°, γ = 66.07°
With the nearest neighbours (Å) after each atom.
Element x y z (fractional)
Mg 0.2500 0.3973 0.1027  8 B 2.50-2.72
Mg 0.7500 0.6027 0.8973  8 B 2.50-2.72
Re 0.5000 0.0000 0.5000  12 B 2.23-2.44
Re 0.0000 0.0000 0.5000  12 B 2.23-2.44
B 0.6680 0.3702 0.2938  6 B 1.72-1.92
B 0.3320 0.6298 0.7062  6 B 1.72-1.92
B 0.1680 0.7938 0.8702  6 B 1.72-1.92
B 0.8320 0.2062 0.1298  6 B 1.72-1.92
B 0.1302 0.2532 0.4864  3 B 1.70-1.80
B 0.8698 0.7468 0.5136  3 B 1.70-1.80
B 0.6302 0.9864 0.7532  3 B 1.70-1.80
B 0.3698 0.0136 0.2468  3 B 1.70-1.80
B 0.0853 0.0860 0.7434  6 B 1.77-1.92
B 0.9147 0.9140 0.2566  6 B 1.77-1.92
B 0.5853 0.2434 0.5860  6 B 1.77-1.92
B 0.4147 0.7566 0.4140  6 B 1.77-1.92
B 0.7235 0.6005 0.2713  6 B 1.76-1.89
B 0.5953 0.3995 0.7287  6 B 1.76-1.89
B 0.2235 0.7713 0.1005  6 B 1.76-1.89
B 0.0953 0.2287 0.8995  6 B 1.76-1.89
B 0.2765 0.3995 0.7287  6 B 1.76-1.89
B 0.4047 0.6005 0.2713  6 B 1.76-1.89
B 0.7765 0.2287 0.8995  6 B 1.76-1.89
B 0.9047 0.7713 0.1005  6 B 1.76-1.89
B 0.3249 0.9640 0.8731  6 B 1.70-1.88
B 0.1620 0.0360 0.1269  6 B 1.70-1.88
B 0.8249 0.3731 0.4640  6 B 1.70-1.88
B 0.6620 0.6269 0.5360  6 B 1.70-1.88
B 0.6751 0.0360 0.1269  6 B 1.70-1.88
B 0.8380 0.9640 0.8731  6 B 1.70-1.88
B 0.1751 0.6269 0.5360  6 B 1.70-1.88
B 0.3380 0.3731 0.4640  6 B 1.70-1.88

---

4.
Computed, not measured: an optimized crystal structure of MgReB6 at the PBE-GGA level of DFT.

Summary:
Space-group type: C2/m (12)

a = 2.9513 Å, b = 4.6242 Å, c = 5.6700 Å
α = 87.61°, β = 74.91°, γ = 71.38°
With the nearest neighbours (Å) after each atom.
Element x y z (fractional)
Mg 0.0000 0.5000 0.5000  10 B 2.40-2.55
Re 0.0000 0.0000 0.0000  12 B 2.23-2.49
B 0.2210 0.9664 0.5917  5 B 1.71-1.82
B 0.5642 0.1647 0.7069  4 B 1.67-1.81
B 0.3152 0.4443 0.9254  3 B 1.67-1.75
B 0.4358 0.8353 0.2931  4 B 1.67-1.81
B 0.7790 0.0336 0.4083  5 B 1.71-1.82
B 0.6848 0.5557 0.0746  3 B 1.67-1.75

---

5.
Computed, not measured: an optimized crystal structure of Mg3ReB at the PBE-GGA level of DFT.

Summary:
Space-group type: Pm-3m (221)
Distance to the lowest polymorph of the same formula in meV/atom: 0

a = 4.4431 Å, b = 4.4431 Å, c = 4.4431 Å
α = 90.00°, β = 90.00°, γ = 90.00°
With the nearest neighbours (Å) after each atom.
Element x y z (fractional)
Re 0.5000 0.5000 0.5000  12 Mg 3.14
Mg 0.0000 0.5000 0.0000  2 B 2.22
Mg 0.0000 0.0000 0.5000  2 B 2.22
Mg 0.5000 0.0000 0.0000  2 B 2.22
B 0.0000 0.0000 0.0000  6 Mg 2.22

---

6.
Computed, not measured: an optimized crystal structure of MgReB at the PBE-GGA level of DFT.

Summary:
Space-group type: Fmmm (69)

a = 4.4543 Å, b = 4.4543 Å, c = 4.7256 Å
α = 104.82°, β = 104.82°, γ = 117.21°
With the nearest neighbours (Å) after each atom.
Element x y z (fractional)
Mg 0.6676 0.3324 0.0000  4 B 2.44, 3 Mg 2.55-2.64
Mg 0.3324 0.6676 0.0000  4 B 2.44, 3 Mg 2.55-2.64
Re 0.8471 0.8471 0.6941  4 B 2.37, 1 Re 2.52
Re 0.1529 0.1529 0.3059  4 B 2.37, 1 Re 2.52
B 0.7500 0.2500 0.5000  2 B 2.32, 4 Re 2.37, 4 Mg 2.44
B 0.2500 0.7500 0.5000  2 B 2.32, 4 Re 2.37, 4 Mg 2.44

---

7.
Computed, not measured: an optimized crystal structure of Mg3ReB at the PBE-GGA level of DFT.

Summary:
Space-group type: Pm-3m (221)
Distance to the lowest polymorph of the same formula in meV/atom: 865

a = 5.0788 Å, b = 5.0788 Å, c = 5.0788 Å
α = 90.00°, β = 90.00°, γ = 90.00°
With the nearest neighbours (Å) after each atom.
Element x y z (fractional)
Re 0.0000 0.0000 0.0000  6 Mg 2.54
Mg 0.0000 0.5000 0.0000  2 Re 2.54
Mg 0.0000 0.0000 0.5000  2 Re 2.54
Mg 0.5000 0.0000 0.0000  2 Re 2.54
B 0.5000 0.5000 0.5000  12 Mg 3.59

---

8.
Computed, not measured: an optimized crystal structure of MgReB3 at the PBE-GGA level of DFT.

Summary:
Space-group type: Pm-3m (221)
Distance to the lowest polymorph of the same formula in meV/atom: 2012

a = 3.9564 Å, b = 3.9564 Å, c = 3.9564 Å
α = 90.00°, β = 90.00°, γ = 90.00°
With the nearest neighbours (Å) after each atom.
Element x y z (fractional)
Re 0.5000 0.5000 0.5000  12 B 2.80
Mg 0.0000 0.0000 0.0000  6 B 1.98
B 0.0000 0.5000 0.0000  2 Mg 1.98
B 0.0000 0.0000 0.5000  2 Mg 1.98
B 0.5000 0.0000 0.0000  2 Mg 1.98

---

no.,E (eV per atom),energy relative to the elements (eV per formula unit)
1,-2.2697,5.32
2,-2.9251,7.76
3,-6.6753,0.72
4,-6.7197,0.35
5,-3.7900,4.96
6,-6.9100,-0.01
7,-2.9254,9.28
8,-4.0573,13.79